VASP calculation (PBE-GGA) on a relaxed Tb5Pr2Th5 crystal.

abc: 5.0666 8.0489 10.7724
angles: 72.77 76.40 71.66
Last column: nearest neighbours and their distance in Å.
Fractional positions:
Tb: 0.4142 0.9233 0.2484  3 Tb 3.51-3.65, 7 Th 3.52-3.61, 2 Pr 3.64
Pr: 0.9161 0.4189 0.7489  7 Tb 3.57-3.64, 5 Th 3.61-3.64
Tb: 0.5858 0.0767 0.7516  3 Tb 3.51-3.65, 7 Th 3.52-3.61, 2 Pr 3.64
Th: 0.8293 0.8399 0.5015  5 Th 3.51-3.55, 5 Tb 3.52-3.63, 2 Pr 3.61-3.64
Th: 0.2474 0.7583 0.7469  4 Th 3.51-3.58, 6 Tb 3.52-3.71, 2 Pr 3.62
Tb: 0.5000 0.5000 0.5000  4 Pr 3.58, 6 Th 3.61-3.63, 2 Tb 3.65
Th: 0.0000 0.0000 0.0000  8 Tb 3.58, 2 Th 3.58, 2 Pr 3.62
Tb: 0.6672 0.6706 0.9949  4 Tb 3.51-3.64, 3 Pr 3.57-3.63, 5 Th 3.57-3.71
Pr: 0.0839 0.5811 0.2511  7 Tb 3.57-3.64, 5 Th 3.61-3.64
Th: 0.7526 0.2417 0.2531  4 Th 3.51-3.58, 6 Tb 3.52-3.71, 2 Pr 3.62
Tb: 0.3328 0.3294 0.0051  4 Tb 3.51-3.64, 3 Pr 3.57-3.63, 5 Th 3.57-3.71
Th: 0.1707 0.1601 0.4985  5 Th 3.51-3.55, 5 Tb 3.52-3.63, 2 Pr 3.61-3.64

Properties
Space group: C2/m (12)
Volume: 393 Å³ per cell
DFT total energy: -5.76 eV per atom
Energy of formation: 0.052 eV per atom



VASP calculation (PBE-GGA) on a relaxed Tb3Pr2Th crystal.

abc: 5.1374 9.5729 9.5729
angles: 107.29 105.55 105.55
Last column: nearest neighbours and their distance in Å.
Fractional positions:
Tb: 0.0097 0.1781 0.3413  3 Th 3.50-3.54, 5 Pr 3.54-3.71, 4 Tb 3.60-3.65
Tb: 0.9903 0.8219 0.6587  3 Th 3.50-3.54, 5 Pr 3.54-3.71, 4 Tb 3.60-3.65
Tb: 0.5000 0.0000 0.5000  6 Pr 3.61-3.62, 2 Th 3.63, 4 Tb 3.65
Th: 0.2500 0.5815 0.4185  8 Tb 3.50-3.63, 2 Th 3.59, 2 Pr 3.64
Tb: 0.5097 0.3413 0.1781  3 Th 3.50-3.54, 5 Pr 3.54-3.71, 4 Tb 3.60-3.65
Pr: 0.2500 0.2516 0.7484  8 Tb 3.54-3.71, 2 Th 3.64, 2 Pr 3.66
Pr: 0.7500 0.0822 0.9178  4 Pr 3.61-3.66, 8 Tb 3.62-3.68
Tb: 0.0000 0.5000 0.0000  6 Pr 3.61-3.62, 2 Th 3.63, 4 Tb 3.65
Th: 0.7500 0.4185 0.5815  8 Tb 3.50-3.63, 2 Th 3.59, 2 Pr 3.64
Tb: 0.4903 0.6587 0.8219  3 Th 3.50-3.54, 5 Pr 3.54-3.71, 4 Tb 3.60-3.65
Pr: 0.7500 0.7484 0.2516  8 Tb 3.54-3.71, 2 Th 3.64, 2 Pr 3.66
Pr: 0.2500 0.9178 0.0822  4 Pr 3.61-3.66, 8 Tb 3.62-3.68

Properties
Space group: Imma (74)
Volume: 401 Å³ per cell
Offset from the most stable computed form: 0 meV/atom
DFT total energy: -5.12 eV per atom
Energy of formation: 0.025 eV per atom



Among the records above, which one has the lowest energy of formation? Tb3Pr2Th